Entry from Alexandria: a relaxed ZnFe2Cl crystal (GGA-PBEsol).

calculated volume: 13.072 A^3/atom
E_tot: -5.04 eV per atom
formation energy from raw total energies: 0.338 eV/atom

The structure in POSCAR format:
```
ZnFe2Cl
1.0
2.826 0.000 0.000
0.000 2.826 0.000
0.000 0.000 6.549
Zn Fe Cl
1 2 1
direct
0.000 0.000 0.000
0.500 0.500 0.245
0.500 0.500 0.755
0.000 0.000 0.500
```